# 1
Density functional theory data (PBE) for crystalline TiZn2GaH at its relaxed geometry.

Geometry as CIF:
```
data_TiZn2GaH
_symmetry_space_group_name_H-M 'P 4/m m m'
_symmetry_Int_Tables_number 123
_symmetry_space_group_name_Hall '-P 4 2'
_cell_length_a 3.988
_cell_length_b 3.988
_cell_length_c 3.949
_cell_angle_alpha 90.00
_cell_angle_beta 90.00
_cell_angle_gamma 90.00
loop_
_atom_site_label
_atom_site_type_symbol
_atom_site_fract_x
_atom_site_fract_y
_atom_site_fract_z
Ti1 Ti 0.000 0.000 0.000
Zn1 Zn 0.000 0.500 0.500
Ga1 Ga 0.500 0.500 0.000
H1 H 0.000 0.000 0.500
```

## Properties
DOS(E_F): 0.213 states/eV/atom
final energy: -3.514 eV per atom
theoretical density: 6.595 Mg/m³



# 2
Density functional theory data (PBE) for crystalline Zr2TiGaH at its relaxed geometry.

Geometry as CIF:
```
data_Zr2TiGaH
_symmetry_space_group_name_H-M 'P 4/m m m'
_symmetry_Int_Tables_number 123
_symmetry_space_group_name_Hall '-P 4 2'
_cell_length_a 4.362
_cell_length_b 4.362
_cell_length_c 4.133
_cell_angle_alpha 90.00
_cell_angle_beta 90.00
_cell_angle_gamma 90.00
loop_
_atom_site_label
_atom_site_type_symbol
_atom_site_fract_x
_atom_site_fract_y
_atom_site_fract_z
Zr1 Zr 0.000 0.500 0.000
Ti1 Ti 0.000 0.000 0.500
Ga1 Ga 0.500 0.500 0.500
H1 H 0.000 0.000 0.000
```

## Properties
DOS(E_F): 0.649 states/eV/atom
final energy: -6.676 eV per atom
theoretical density: 6.356 Mg/m³



# 3
Density functional theory data (PBE) for crystalline TlGaH at its relaxed geometry.

Geometry as CIF:
```
data_TlGaH
_symmetry_space_group_name_H-M 'C 1 m 1'
_symmetry_Int_Tables_number 8
_symmetry_space_group_name_Hall 'C -2y'
_cell_length_a 7.783
_cell_length_b 4.499
_cell_length_c 7.446
_cell_angle_alpha 90.00
_cell_angle_beta 110.65
_cell_angle_gamma 90.00
loop_
_atom_site_label
_atom_site_type_symbol
_atom_site_fract_x
_atom_site_fract_y
_atom_site_fract_z
Tl1 Tl 0.000 0.000 0.000
Tl2 Tl 0.058 0.500 0.682
Ga1 Ga 0.145 0.000 0.443
Ga2 Ga 0.290 0.500 0.375
H1 H 0.347 0.000 0.047
H2 H 0.390 0.000 0.158
```

## Properties
DOS(E_F): 0.275 states/eV/atom
final energy: -2.773 eV per atom
theoretical density: 7.491 Mg/m³
ΔE to the lowest computed polymorph: 96.8 meV/atom



# 4
Density functional theory data (PBE) for crystalline TlGaH at its relaxed geometry.

Geometry as CIF:
```
data_TlGaH
_symmetry_space_group_name_H-M 'P 1'
_symmetry_Int_Tables_number 1
_symmetry_space_group_name_Hall 'P 1'
_cell_length_a 3.293
_cell_length_b 3.293
_cell_length_c 13.746
_cell_angle_alpha 84.02
_cell_angle_beta 84.15
_cell_angle_gamma 66.00
loop_
_atom_site_label
_atom_site_type_symbol
_atom_site_fract_x
_atom_site_fract_y
_atom_site_fract_z
Tl1 Tl 0.000 0.000 0.000
Tl2 Tl 0.154 0.147 0.516
Ga1 Ga 0.283 0.283 0.185
Ga2 Ga 0.870 0.867 0.331
H1 H 0.558 0.527 0.786
H2 H 0.569 0.588 0.731
```

## Properties
DOS(E_F): 0.156 states/eV/atom
final energy: -2.850 eV per atom
theoretical density: 6.762 Mg/m³
ΔE to the lowest computed polymorph: 19.0 meV/atom



# 5
Density functional theory data (PBE) for crystalline TlGaH at its relaxed geometry.

Geometry as CIF:
```
data_TlGaH
_symmetry_space_group_name_H-M 'C 1 m 1'
_symmetry_Int_Tables_number 8
_symmetry_space_group_name_Hall 'C -2y'
_cell_length_a 5.646
_cell_length_b 4.374
_cell_length_c 9.711
_cell_angle_alpha 90.00
_cell_angle_beta 106.04
_cell_angle_gamma 90.00
loop_
_atom_site_label
_atom_site_type_symbol
_atom_site_fract_x
_atom_site_fract_y
_atom_site_fract_z
Tl1 Tl 0.000 0.000 0.000
Tl2 Tl 0.169 0.000 0.661
Ga1 Ga 0.260 0.500 0.254
Ga2 Ga 0.416 0.000 0.408
H1 H 0.324 0.000 0.918
H2 H 0.349 0.500 0.749
```

## Properties
DOS(E_F): 0.192 states/eV/atom
final energy: -2.584 eV per atom
theoretical density: 7.928 Mg/m³
ΔE to the lowest computed polymorph: 285.2 meV/atom



# 6
Density functional theory data (PBE) for crystalline TlGa2H2 at its relaxed geometry.

Geometry as CIF:
```
data_TlGa2H2
_symmetry_space_group_name_H-M 'I 4/m m m'
_symmetry_Int_Tables_number 139
_symmetry_space_group_name_Hall '-I 4 2'
_cell_length_a 3.587
_cell_length_b 3.587
_cell_length_c 12.341
_cell_angle_alpha 90.00
_cell_angle_beta 90.00
_cell_angle_gamma 90.00
loop_
_atom_site_label
_atom_site_type_symbol
_atom_site_fract_x
_atom_site_fract_y
_atom_site_fract_z
Tl1 Tl 0.000 0.000 0.000
Ga1 Ga 0.000 0.000 0.332
H1 H 0.000 0.500 0.250
```

## Properties
DOS(E_F): 0.194 states/eV/atom
final energy: -2.752 eV per atom
theoretical density: 7.235 Mg/m³



# 7
Density functional theory data (PBE) for crystalline TlGaH at its relaxed geometry.

Geometry as CIF:
```
data_TlGaH
_symmetry_space_group_name_H-M 'P -1'
_symmetry_Int_Tables_number 2
_symmetry_space_group_name_Hall '-P 1'
_cell_length_a 3.422
_cell_length_b 4.566
_cell_length_c 8.161
_cell_angle_alpha 81.46
_cell_angle_beta 79.07
_cell_angle_gamma 72.72
loop_
_atom_site_label
_atom_site_type_symbol
_atom_site_fract_x
_atom_site_fract_y
_atom_site_fract_z
Tl1 Tl 0.187 0.233 0.162
Ga1 Ga 0.332 0.276 0.540
H1 H 0.215 0.243 0.749
```

## Properties
DOS(E_F): 0.228 states/eV/atom
final energy: -2.759 eV per atom
theoretical density: 7.680 Mg/m³
ΔE to the lowest computed polymorph: 110.0 meV/atom



# 8
Density functional theory data (PBE) for crystalline TlGaH at its relaxed geometry.

Geometry as CIF:
```
data_TlGaH
_symmetry_space_group_name_H-M 'C 1 2/m 1'
_symmetry_Int_Tables_number 12
_symmetry_space_group_name_Hall '-C 2y'
_cell_length_a 7.961
_cell_length_b 4.681
_cell_length_c 6.980
_cell_angle_alpha 90.00
_cell_angle_beta 112.87
_cell_angle_gamma 90.00
loop_
_atom_site_label
_atom_site_type_symbol
_atom_site_fract_x
_atom_site_fract_y
_atom_site_fract_z
Tl1 Tl 0.101 0.000 0.309
Ga1 Ga 0.157 0.500 0.968
H1 H 0.068 0.500 0.708
```

## Properties
DOS(E_F): 0.084 states/eV/atom
final energy: -2.769 eV per atom
theoretical density: 7.624 Mg/m³
ΔE to the lowest computed polymorph: 100.7 meV/atom



# 9
Density functional theory data (PBE) for crystalline TlGaH at its relaxed geometry.

Geometry as CIF:
```
data_TlGaH
_symmetry_space_group_name_H-M 'C 1 m 1'
_symmetry_Int_Tables_number 8
_symmetry_space_group_name_Hall 'C -2y'
_cell_length_a 10.793
_cell_length_b 5.153
_cell_length_c 4.658
_cell_angle_alpha 90.00
_cell_angle_beta 103.12
_cell_angle_gamma 90.00
loop_
_atom_site_label
_atom_site_type_symbol
_atom_site_fract_x
_atom_site_fract_y
_atom_site_fract_z
Tl1 Tl 0.000 0.000 0.000
Tl2 Tl 0.217 0.000 0.591
Ga1 Ga 0.047 0.500 0.689
Ga2 Ga 0.404 0.000 0.153
H1 H 0.239 0.500 0.363
H2 H 0.292 0.500 0.276
```

## Properties
DOS(E_F): 0.346 states/eV/atom
final energy: -2.736 eV per atom
theoretical density: 7.243 Mg/m³
ΔE to the lowest computed polymorph: 133.7 meV/atom



# 10
Density functional theory data (PBE) for crystalline Tl2GaH5 at its relaxed geometry.

Geometry as CIF:
```
data_Tl2GaH5
_symmetry_space_group_name_H-M 'P 1'
_symmetry_Int_Tables_number 1
_symmetry_space_group_name_Hall 'P 1'
_cell_length_a 5.406
_cell_length_b 5.435
_cell_length_c 5.757
_cell_angle_alpha 94.91
_cell_angle_beta 99.06
_cell_angle_gamma 117.58
loop_
_atom_site_label
_atom_site_type_symbol
_atom_site_fract_x
_atom_site_fract_y
_atom_site_fract_z
Tl1 Tl 0.000 0.000 0.000
Tl2 Tl 0.109 0.632 0.454
Ga1 Ga 0.608 0.275 0.755
H1 H 0.499 0.968 0.837
H2 H 0.507 0.455 0.909
H3 H 0.513 0.231 0.472
H4 H 0.954 0.875 0.632
H5 H 0.957 0.422 0.831
```

## Properties
DOS(E_F): 0.000 states/eV/atom
final energy: -2.887 eV per atom
theoretical density: 5.513 Mg/m³



# 11
Density functional theory data (PBE) for crystalline TlGaH at its relaxed geometry.

Geometry as CIF:
```
data_TlGaH
_symmetry_space_group_name_H-M 'P 1'
_symmetry_Int_Tables_number 1
_symmetry_space_group_name_Hall 'P 1'
_cell_length_a 3.167
_cell_length_b 6.445
_cell_length_c 6.475
_cell_angle_alpha 90.26
_cell_angle_beta 94.51
_cell_angle_gamma 95.80
loop_
_atom_site_label
_atom_site_type_symbol
_atom_site_fract_x
_atom_site_fract_y
_atom_site_fract_z
Tl1 Tl 0.000 0.000 0.000
Tl2 Tl 0.466 0.630 0.299
Ga1 Ga 0.246 0.954 0.581
Ga2 Ga 0.773 0.218 0.364
H1 H 0.639 0.424 0.767
H2 H 0.691 0.503 0.855
```

## Properties
DOS(E_F): 0.287 states/eV/atom
final energy: -2.780 eV per atom
theoretical density: 6.970 Mg/m³
ΔE to the lowest computed polymorph: 89.0 meV/atom



# 12
Density functional theory data (PBE) for crystalline TlGa3H at its relaxed geometry.

Geometry as CIF:
```
data_TlGa3H
_symmetry_space_group_name_H-M 'P m -3 m'
_symmetry_Int_Tables_number 221
_symmetry_space_group_name_Hall '-P 4 2 3'
_cell_length_a 5.511
_cell_length_b 5.511
_cell_length_c 5.511
_cell_angle_alpha 90.00
_cell_angle_beta 90.00
_cell_angle_gamma 90.00
loop_
_atom_site_label
_atom_site_type_symbol
_atom_site_fract_x
_atom_site_fract_y
_atom_site_fract_z
Tl1 Tl 0.000 0.000 0.000
Ga1 Ga 0.000 0.000 0.500
H1 H 0.500 0.500 0.500
```

## Properties
DOS(E_F): 0.399 states/eV/atom
final energy: -1.990 eV per atom
theoretical density: 4.113 Mg/m³



# 13
Density functional theory data (PBE) for crystalline TlGaH at its relaxed geometry.

Geometry as CIF:
```
data_TlGaH
_symmetry_space_group_name_H-M 'P m m n'
_symmetry_Int_Tables_number 59
_cell_length_a 3.321
_cell_length_b 4.240
_cell_length_c 8.025
_cell_angle_alpha 90.00
_cell_angle_beta 90.00
_cell_angle_gamma 90.00
loop_
_symmetry_equiv_pos_as_xyz
'x,y,z'
'-x,-y,-z'
'-x+1/2,-y+1/2,z'
'x+1/2,y+1/2,-z'
'x+1/2,-y,-z'
'-x+1/2,y,z'
'-x,y+1/2,-z'
'x,-y+1/2,z'
loop_
_atom_site_label
_atom_site_type_symbol
_atom_site_fract_x
_atom_site_fract_y
_atom_site_fract_z
Tl1 Tl 0.250 0.250 0.154
Ga1 Ga 0.250 0.250 0.538
H1 H 0.250 0.250 0.746
```

## Properties
DOS(E_F): 0.203 states/eV/atom
final energy: -2.768 eV per atom
theoretical density: 8.086 Mg/m³
ΔE to the lowest computed polymorph: 101.0 meV/atom



# 14
Density functional theory data (PBE) for crystalline Tl2GaH2 at its relaxed geometry.

Geometry as CIF:
```
data_Tl2GaH2
_symmetry_space_group_name_H-M 'I 4/m m m'
_symmetry_Int_Tables_number 139
_symmetry_space_group_name_Hall '-I 4 2'
_cell_length_a 3.744
_cell_length_b 3.744
_cell_length_c 13.437
_cell_angle_alpha 90.00
_cell_angle_beta 90.00
_cell_angle_gamma 90.00
loop_
_atom_site_label
_atom_site_type_symbol
_atom_site_fract_x
_atom_site_fract_y
_atom_site_fract_z
Tl1 Tl 0.000 0.000 0.147
Ga1 Ga 0.000 0.000 0.500
H1 H 0.000 0.500 0.250
```

## Properties
DOS(E_F): 0.374 states/eV/atom
final energy: -2.501 eV per atom
theoretical density: 8.475 Mg/m³



# 15
Density functional theory data (PBE) for crystalline TlGaH at its relaxed geometry.

Geometry as CIF:
```
data_TlGaH
_symmetry_space_group_name_H-M 'P 1'
_symmetry_Int_Tables_number 1
_symmetry_space_group_name_Hall 'P 1'
_cell_length_a 3.421
_cell_length_b 4.578
_cell_length_c 8.179
_cell_angle_alpha 89.72
_cell_angle_beta 89.58
_cell_angle_gamma 70.83
loop_
_atom_site_label
_atom_site_type_symbol
_atom_site_fract_x
_atom_site_fract_y
_atom_site_fract_z
Tl1 Tl 0.000 0.000 0.000
Tl2 Tl 0.347 0.441 0.688
Ga1 Ga 0.024 0.005 0.386
Ga2 Ga 0.329 0.435 0.302
H1 H 0.006 0.005 0.589
H2 H 0.345 0.435 0.099
```

## Properties
DOS(E_F): 0.156 states/eV/atom
final energy: -2.762 eV per atom
theoretical density: 7.551 Mg/m³
ΔE to the lowest computed polymorph: 107.4 meV/atom



# 16
Density functional theory data (PBE) for crystalline TlGaH at its relaxed geometry.

Geometry as CIF:
```
data_TlGaH
_symmetry_space_group_name_H-M 'P 1'
_symmetry_Int_Tables_number 1
_symmetry_space_group_name_Hall 'P 1'
_cell_length_a 4.289
_cell_length_b 4.289
_cell_length_c 10.245
_cell_angle_alpha 78.04
_cell_angle_beta 78.95
_cell_angle_gamma 60.01
loop_
_atom_site_label
_atom_site_type_symbol
_atom_site_fract_x
_atom_site_fract_y
_atom_site_fract_z
Tl1 Tl 0.000 0.000 0.000
Tl2 Tl 0.126 0.155 0.558
Ga1 Ga 0.392 0.405 0.797
Ga2 Ga 0.735 0.751 0.761
H1 H 0.553 0.601 0.241
H2 H 0.571 0.556 0.315
```

## Properties
DOS(E_F): 0.104 states/eV/atom
final energy: -2.869 eV per atom
theoretical density: 5.754 Mg/m³
ΔE to the lowest computed polymorph: 0.0 meV/atom



# 17
Density functional theory data (PBE) for crystalline TlGaH at its relaxed geometry.

Geometry as CIF:
```
data_TlGaH
_symmetry_space_group_name_H-M 'A m m 2'
_symmetry_Int_Tables_number 38
_symmetry_space_group_name_Hall 'A 2 -2'
_cell_length_a 3.087
_cell_length_b 3.278
_cell_length_c 11.055
_cell_angle_alpha 90.00
_cell_angle_beta 90.00
_cell_angle_gamma 90.00
loop_
_atom_site_label
_atom_site_type_symbol
_atom_site_fract_x
_atom_site_fract_y
_atom_site_fract_z
Tl1 Tl 0.000 0.000 0.000
Ga1 Ga 0.500 0.000 0.726
H1 H 0.500 0.000 0.299
```

## Properties
DOS(E_F): 0.293 states/eV/atom
final energy: -2.664 eV per atom
theoretical density: 8.169 Mg/m³
ΔE to the lowest computed polymorph: 205.1 meV/atom



# 18
Density functional theory data (PBE) for crystalline Tl2GaH4 at its relaxed geometry.

Geometry as CIF:
```
data_Tl2GaH4
_symmetry_space_group_name_H-M 'I 4/m m m'
_symmetry_Int_Tables_number 139
_symmetry_space_group_name_Hall '-I 4 2'
_cell_length_a 3.806
_cell_length_b 3.806
_cell_length_c 13.827
_cell_angle_alpha 90.00
_cell_angle_beta 90.00
_cell_angle_gamma 90.00
loop_
_atom_site_label
_atom_site_type_symbol
_atom_site_fract_x
_atom_site_fract_y
_atom_site_fract_z
Tl1 Tl 0.000 0.000 0.169
Ga1 Ga 0.000 0.000 0.500
H1 H 0.000 0.000 0.378
H2 H 0.000 0.500 0.000
```

## Properties
DOS(E_F): 0.303 states/eV/atom
final energy: -2.763 eV per atom
theoretical density: 8.002 Mg/m³



# 19
Density functional theory data (PBE) for crystalline TlGaH at its relaxed geometry.

Geometry as CIF:
```
data_TlGaH
_symmetry_space_group_name_H-M 'P 1'
_symmetry_Int_Tables_number 1
_symmetry_space_group_name_Hall 'P 1'
_cell_length_a 4.495
_cell_length_b 5.293
_cell_length_c 5.550
_cell_angle_alpha 104.76
_cell_angle_beta 104.03
_cell_angle_gamma 92.43
loop_
_atom_site_label
_atom_site_type_symbol
_atom_site_fract_x
_atom_site_fract_y
_atom_site_fract_z
Tl1 Tl 0.000 0.000 0.000
Tl2 Tl 0.452 0.416 0.747
Ga1 Ga 0.133 0.558 0.209
Ga2 Ga 0.627 0.866 0.462
H1 H 0.744 0.084 0.326
H2 H 0.893 0.633 0.416
```

## Properties
DOS(E_F): 0.172 states/eV/atom
final energy: -2.725 eV per atom
theoretical density: 7.422 Mg/m³
ΔE to the lowest computed polymorph: 143.9 meV/atom



# 20
Density functional theory data (PBE) for crystalline Tm3GaH at its relaxed geometry.

Geometry as CIF:
```
data_Tm3GaH
_symmetry_space_group_name_H-M 'P m -3 m'
_symmetry_Int_Tables_number 221
_symmetry_space_group_name_Hall '-P 4 2 3'
_cell_length_a 4.667
_cell_length_b 4.667
_cell_length_c 4.667
_cell_angle_alpha 90.00
_cell_angle_beta 90.00
_cell_angle_gamma 90.00
loop_
_atom_site_label
_atom_site_type_symbol
_atom_site_fract_x
_atom_site_fract_y
_atom_site_fract_z
Tm1 Tm 0.000 0.000 0.500
Ga1 Ga 0.500 0.500 0.500
H1 H 0.000 0.000 0.000
```

## Properties
DOS(E_F): 0.878 states/eV/atom
final energy: -4.273 eV per atom
theoretical density: 9.432 Mg/m³
ΔE to the lowest computed polymorph: 19.1 meV/atom